A plane-wave DFT calculation with PBE was carried out for an optimized crystal structure of LaPr2DyH.

Unit cell a=5.1206 b=5.2026 c=5.2026 alpha=90.00 beta=90.00 gamma=90.00
Closest atoms and distances in Å follow each position.
Fractional positions:
La 0.5000 0.5000 0.5000  8 Pr 3.65, 4 Dy 3.68
Pr 0.0000 0.0000 0.5000  2 H 2.60
Pr 0.0000 0.5000 0.0000  2 H 2.60
Dy 0.5000 0.0000 0.0000  2 H 2.56
H 0.0000 0.0000 0.0000  2 Dy 2.56, 4 Pr 2.60

Summary:
* SG: P4/mmm
* magnetization: 0.00 μB per cell

---

A plane-wave DFT calculation with PBE was carried out for an optimized crystal structure of NaNbHg3.

Unit cell a=5.4891 b=5.4891 c=5.4891 alpha=90.00 beta=90.00 gamma=90.00
Closest atoms and distances in Å follow each position.
Fractional positions:
Na 0.5000 0.5000 0.5000  12 Hg 3.88
Nb 0.0000 0.0000 0.0000  6 Hg 2.74
Hg 0.0000 0.5000 0.0000  2 Nb 2.74
Hg 0.0000 0.0000 0.5000  2 Nb 2.74
Hg 0.5000 0.0000 0.0000  2 Nb 2.74

Summary:
* SG: Pm-3m
* ΔE_f: 482 meV/atom
* magnetization: 2.07 μB per cell
* ΔE to the lowest computed polymorph: 0.0 meV/atom

---

A plane-wave DFT calculation with PBE was carried out for an optimized crystal structure of TeH2Ir.

Unit cell a=4.0193 b=4.0193 c=4.0193 alpha=60.00 beta=60.00 gamma=60.00
Closest atoms and distances in Å follow each position.
Fractional positions:
H 0.2500 0.2500 0.2500  4 Te 2.46, 4 Ir 2.46
H 0.7500 0.7500 0.7500  4 Te 2.46, 4 Ir 2.46
Ir 0.5000 0.5000 0.5000  8 H 2.46
Te 0.0000 0.0000 0.0000  8 H 2.46

Summary:
* SG: Fm-3m
* magnetization: 0.00 μB per cell
* ΔE to the lowest computed polymorph: 577.7 meV/atom

---

A plane-wave DFT calculation with PBE was carried out for an optimized crystal structure of LiAs4Se.

Unit cell a=5.8072 b=5.8072 c=5.8072 alpha=60.00 beta=60.00 gamma=60.00
Closest atoms and distances in Å follow each position.
Fractional positions:
Li 0.7500 0.7500 0.7500  12 As 3.45, 4 Se 3.56
As 0.9229 0.3590 0.3590  3 As 2.53
As 0.3590 0.3590 0.9229  3 As 2.53
As 0.3590 0.9229 0.3590  3 As 2.53
As 0.3590 0.3590 0.3590  3 As 2.53
Se 0.0000 0.0000 0.0000  12 As 3.37, 4 Li 3.56

Summary:
* SG: F-43m
* formation energy from raw total energies: 0.174 eV/atom
* magnetization: 0.00 μB per cell

---

A plane-wave DFT calculation with PBE was carried out for an optimized crystal structure of Co2RhCl.

Unit cell a=4.2634 b=4.2634 c=4.2634 alpha=60.00 beta=60.00 gamma=60.00
Closest atoms and distances in Å follow each position.
Fractional positions:
Co 0.0000 0.0000 0.0000  4 Co 2.61, 4 Rh 2.61
Co 0.2500 0.2500 0.2500  4 Cl 2.61, 4 Co 2.61
Rh 0.7500 0.7500 0.7500  4 Cl 2.61, 4 Co 2.61
Cl 0.5000 0.5000 0.5000  4 Rh 2.61, 4 Co 2.61

Summary:
* SG: F-43m
* formation energy from raw total energies: 0.688 eV/atom
* magnetization: 5.02 μB per cell
* ΔE to the lowest computed polymorph: 464.0 meV/atom

---

A plane-wave DFT calculation with PBE was carried out for an optimized crystal structure of Cr2NiSe.

Unit cell a=3.2245 b=3.2245 c=5.1989 alpha=90.00 beta=90.00 gamma=90.00
Closest atoms and distances in Å follow each position.
Fractional positions:
Cr 0.0000 0.0000 0.0216  2 Ni 2.51-2.69, 4 Cr 2.55, 4 Se 2.73
Cr 0.5000 0.5000 0.2416  4 Cr 2.55, 2 Se 2.56-2.64, 4 Ni 2.66
Ni 0.0000 0.0000 0.5034  6 Cr 2.51-2.69, 4 Se 2.57
Se 0.5000 0.5000 0.7333  6 Cr 2.56-2.73, 4 Ni 2.57

Summary:
* SG: P4mm
* formation energy from raw total energies: 0.154 eV/atom
* magnetization: 0.15 μB per cell

---

| no. | E (eV/atom) |
| --- | --- |
| 1 | -4.661 |
| 2 | -1.977 |
| 3 | -3.694 |
| 4 | -3.826 |
| 5 | -5.165 |
| 6 | -6.974 |